Entry 1:
Compound: PtRh2
Source: Alexandria via LeMat-Bulk
Functional: SCAN
Structure: PBEsol geometry

energy	-137.1	eV/cell
formation energy	196.4	meV/atom

a = 2.6541 Å, b = 4.3178 Å, c = 4.3178 Å
α = 120.00°, β = 90.00°, γ = 90.00°
With the nearest neighbours (Å) after each atom.
Fractional positions:
Pt  0.5000  0.0000  0.0000  2 Pt 2.65, 12 Rh 2.82
Rh  0.0000  0.3333  0.6667  5 Rh 2.49-2.65
Rh  0.0000  0.6667  0.3333  5 Rh 2.49-2.65

Entry 2:
Compound: GeTe2AsH
Source: Alexandria via LeMat-Bulk
Functional: SCAN
Structure: PBEsol geometry

energy	-114.4	eV/cell

a = 3.5038 Å, b = 5.2367 Å, c = 5.2367 Å
α = 90.00°, β = 90.00°, γ = 90.00°
With the nearest neighbours (Å) after each atom.
Fractional positions:
H  0.0000  0.0000  0.0000  2 Ge 1.75
As  0.5000  0.5000  0.5000  8 Te 3.15, 2 As 3.50
Te  0.0000  0.0000  0.5000  2 H 2.62
Te  0.0000  0.5000  0.0000  2 H 2.62
Ge  0.5000  0.0000  0.0000  2 H 1.75

Entry 3:
Compound: CsCaSb2
Source: Alexandria via LeMat-Bulk
Functional: SCAN
Structure: PBEsol geometry

energy	-123.0	eV/cell
formation energy (no corrections)	-0.261	eV/atom

a = 5.7377 Å, b = 5.7377 Å, c = 5.7377 Å
α = 60.00°, β = 60.00°, γ = 60.00°
With the nearest neighbours (Å) after each atom.
Fractional positions:
Cs  0.5000  0.5000  0.5000  8 Sb 3.51
Sb  0.2500  0.2500  0.2500  4 Cs 3.51, 4 Ca 3.51
Sb  0.7500  0.7500  0.7500  4 Cs 3.51, 4 Ca 3.51
Ca  0.0000  0.0000  0.0000  8 Sb 3.51

Entry 4:
Compound: BaZnAsF
Source: Alexandria via LeMat-Bulk
Functional: SCAN
Structure: PBEsol geometry

energy	-169.9	eV/cell
formation energy (no corrections)	-2.040	eV/atom

a = 4.2083 Å, b = 4.2083 Å, c = 9.4766 Å
α = 90.00°, β = 90.00°, γ = 90.00°
With the nearest neighbours (Å) after each atom.
Fractional positions:
Zn  0.5000  0.5000  0.5000  4 As 2.57
Zn  0.0000  0.0000  0.5000  4 As 2.57
As  0.0000  0.5000  0.3436  4 Zn 2.57
As  0.5000  0.0000  0.6564  4 Zn 2.57
Ba  0.0000  0.5000  0.8347  4 F 2.62
Ba  0.5000  0.0000  0.1653  4 F 2.62
F  0.5000  0.5000  0.0000  4 Ba 2.62
F  0.0000  0.0000  0.0000  4 Ba 2.62

Entry 5:
Compound: BaFeHg
Source: Alexandria via LeMat-Bulk
Functional: SCAN
Structure: PBEsol geometry

energy	-125.4	eV/cell
formation energy	132.5	meV/atom

a = 3.6745 Å, b = 3.6745 Å, c = 6.2684 Å
α = 107.04°, β = 107.04°, γ = 90.00°
With the nearest neighbours (Å) after each atom.
Fractional positions:
Ba  0.9965  0.9965  0.9930  1 Fe 3.15, 1 Hg 3.27
Fe  0.7205  0.7205  0.4409  4 Hg 2.69
Hg  0.2830  0.2830  0.5661  4 Fe 2.69

Entry 6:
Compound: KMgCd4
Source: Alexandria via LeMat-Bulk
Functional: SCAN
Structure: PBEsol geometry

energy	-135.3	eV/cell
formation energy	-50.1	meV/atom

a = 5.9239 Å, b = 5.9239 Å, c = 5.9239 Å
α = 60.00°, β = 60.00°, γ = 60.00°
With the nearest neighbours (Å) after each atom.
Fractional positions:
K  0.7500  0.7500  0.7500  12 Cd 3.47, 4 Mg 3.63
Mg  0.0000  0.0000  0.0000  12 Cd 3.47, 4 K 3.63
Cd  0.3746  0.3746  0.3746  6 Cd 2.95-2.97
Cd  0.3746  0.3746  0.8761  6 Cd 2.95-2.97
Cd  0.8761  0.3746  0.3746  6 Cd 2.95-2.97
Cd  0.3746  0.8761  0.3746  6 Cd 2.95-2.97

Entry 7:
Compound: CoNi2As
Source: Alexandria via LeMat-Bulk
Functional: SCAN
Structure: PBEsol geometry

energy	-70.3	eV/cell
formation energy	-111.0	meV/atom

a = 3.4858 Å, b = 3.4858 Å, c = 3.5905 Å
α = 90.00°, β = 90.00°, γ = 90.00°
With the nearest neighbours (Å) after each atom.
Fractional positions:
Ni  0.0000  0.5000  0.0000  4 Ni 2.46, 4 As 2.50, 4 Co 2.50
Ni  0.5000  0.0000  0.0000  4 Ni 2.46, 4 As 2.50, 4 Co 2.50
As  0.5000  0.5000  0.5000  4 Co 2.46, 8 Ni 2.50
Co  0.0000  0.0000  0.5000  4 As 2.46, 8 Ni 2.50

Entry 8:
Compound: Zr3Au
Source: Alexandria via LeMat-Bulk
Functional: SCAN
Structure: PBEsol geometry

energy	-162.8	eV/cell
formation energy	-397.7	meV/atom

a = 3.1897 Å, b = 5.3141 Å, c = 5.7895 Å
α = 117.32°, β = 105.99°, γ = 90.00°
With the nearest neighbours (Å) after each atom.
Fractional positions:
Au  0.0000  0.9906  0.0000  6 Zr 2.85, 2 Au 3.19
Zr  0.2741  0.9224  0.5483  2 Au 2.85, 9 Zr 3.06-3.19
Zr  0.5000  0.5463  0.0000  2 Au 2.85, 8 Zr 3.06-3.19
Zr  0.7259  0.3741  0.4517  2 Au 2.85, 9 Zr 3.06-3.19

> Look up the energy of the seventh one.

-70.3 eV/cell

> Number 7 is which compound?

CoNi2As